{"formula": "Ba2LaAlBi", "functional": "PBE", "state": "relaxed", "m_tot_mub_per_fu": 1.04, "ef_ev_per_atom": 0.10, "total_energy_ev_per_fu": -15.911, "cell": [[6.6254, 0.0000, 0.0000], [0.0000, 6.1751, 0.0000], [0.0000, 0.0000, 6.6254]], "species": ["Ba", "Ba", "Al", "Bi", "La"], "frac_coords": [[0.0000, 0.0000, 0.5000], [0.5000, 0.0000, 0.0000], [0.5000, 0.5000, 0.5000], [0.0000, 0.0000, 0.0000], [0.0000, 0.5000, 0.0000]]}

{"formula": "RbNF3", "functional": "PBE", "state": "relaxed", "m_tot_mub_per_fu": 0.99, "total_energy_ev_per_fu": -19.470, "formation_energy_uncorrected_ev_per_atom": -0.913, "cell": [[-0.1864, -5.3013, 2.9297], [0.1480, -3.2824, -5.9302], [8.5266, 0.0120, 0.2062]], "species": ["Rb", "Rb", "Rb", "Rb", "N", "N", "N", "N", "F", "F", "F", "F", "F", "F", "F", "F", "F", "F", "F", "F"], "frac_coords": [[0.9997, 0.5236, 0.2558], [0.5003, 0.0236, 0.2442], [0.0003, 0.4764, 0.7442], [0.4997, 0.9764, 0.7558], [0.5033, 0.5753, 0.0341], [0.9967, 0.0753, 0.4659], [0.4967, 0.4247, 0.9659], [0.0033, 0.9247, 0.5341], [0.2342, 0.7210, 0.5219], [0.2658, 0.2210, 0.9781], [0.7658, 0.2790, 0.4781], [0.7342, 0.7790, 0.0219], [0.0000, 0.9427, 0.7386], [0.5000, 0.4427, 0.7614], [0.0000, 0.0573, 0.2614], [0.5000, 0.5573, 0.2386], [0.7729, 0.7705, 0.5001], [0.7271, 0.2705, 0.9999], [0.2271, 0.2295, 0.4999], [0.2729, 0.7295, 0.0001]]}

{"formula": "Ba3Rh2", "functional": "PBE", "state": "relaxed", "m_tot_mub_per_fu": 0.00, "ef_ev_per_atom": 0.03, "total_energy_ev_per_fu": -20.334, "cell": [[-1.5634, -3.8843, 9.7906], [-0.5598, -7.6700, 7.3652], [2.8310, -4.9950, 8.9679]], "species": ["Ba", "Ba", "Ba", "Rh", "Rh"], "frac_coords": [[0.0000, 0.0000, 0.0000], [0.7739, 0.7739, 0.7739], [0.2261, 0.2261, 0.2261], [0.3971, 0.3971, 0.3971], [0.6029, 0.6029, 0.6029]]}

{"formula": "Mg2AlNi2", "functional": "PBE", "state": "relaxed", "m_tot_mub_per_fu": 0.00, "ef_ev_per_atom": -0.01, "total_energy_ev_per_fu": -18.544, "cell": [[7.2788, 0.0000, 0.0000], [0.0000, 7.2788, 0.0000], [0.0000, 0.0000, 2.8126]], "species": ["Ni", "Ni", "Ni", "Ni", "Mg", "Mg", "Mg", "Mg", "Al", "Al"], "frac_coords": [[0.1665, 0.6665, 0.5000], [0.6665, 0.8335, 0.5000], [0.8335, 0.3335, 0.5000], [0.3335, 0.1665, 0.5000], [0.3676, 0.8676, 0.0000], [0.8676, 0.6324, 0.0000], [0.6324, 0.1324, 0.0000], [0.1324, 0.3676, 0.0000], [0.0000, 0.0000, 0.0000], [0.5000, 0.5000, 0.0000]]}

{"formula": "CdNi2Pt6", "functional": "PBE", "state": "relaxed", "m_tot_mub_per_fu": 2.32, "ef_ev_per_atom": -0.02, "total_energy_ev_per_fu": -48.914, "cell": [[2.7571, 0.0000, 0.0000], [0.0000, 6.7485, -3.4612], [0.0000, -0.2902, 7.5788]], "species": ["Cd", "Ni", "Ni", "Pt", "Pt", "Pt", "Pt", "Pt", "Pt"], "frac_coords": [[0.5000, 0.1916, 0.1916], [0.0000, 0.5596, 0.2519], [0.0000, 0.2519, 0.5596], [0.5000, 0.5408, 0.5408], [0.5000, 0.5575, 0.9183], [0.5000, 0.9183, 0.5575], [0.0000, 0.8572, 0.8572], [0.0000, 0.2340, 0.8890], [0.0000, 0.8890, 0.2340]]}

{"formula": "CsMgCdCl6", "functional": "PBE", "state": "relaxed", "m_tot_mub_per_fu": 1.10, "total_energy_ev_per_fu": -26.548, "formation_energy_uncorrected_ev_per_atom": -1.345, "cell": [[6.7066, 0.0005, 0.0001], [3.3538, 5.8078, -0.0001], [0.0004, -0.0007, 7.8130]], "species": ["Cs", "Mg", "Cd", "Cl", "Cl", "Cl", "Cl", "Cl", "Cl"], "frac_coords": [[0.0000, 0.0000, 0.0000], [0.6667, 0.6667, 0.5000], [0.3333, 0.3334, 0.5000], [0.9866, 0.3903, 0.3077], [0.3903, 0.9866, 0.6923], [0.6228, 0.3906, 0.6924], [0.9865, 0.6231, 0.6923], [0.3906, 0.6229, 0.3076], [0.6231, 0.9865, 0.3076]]}

{"formula": "Ac3TlPb3", "functional": "PBE", "state": "relaxed", "m_tot_mub_per_fu": 0.00, "ef_ev_per_atom": -0.46, "total_energy_ev_per_fu": -29.030, "cell": [[-4.6399, 1.0885, 1.2813], [-0.6122, 0.6092, 6.7694], [1.6614, 16.2015, 1.7571]], "species": ["Ac", "Ac", "Ac", "Ac", "Ac", "Ac", "Tl", "Tl", "Pb", "Pb", "Pb", "Pb", "Pb", "Pb"], "frac_coords": [[0.5220, 0.3336, 0.6225], [0.4780, 0.6664, 0.3775], [0.2690, 0.2385, 0.2234], [0.7310, 0.7615, 0.7766], [0.3983, 0.2803, 0.9231], [0.6017, 0.7197, 0.0769], [0.7646, 0.0989, 0.3718], [0.2354, 0.9011, 0.6282], [0.8674, 0.7286, 0.5366], [0.1326, 0.2714, 0.4634], [0.1259, 0.8251, 0.9231], [0.8741, 0.1749, 0.0769], [0.9973, 0.7820, 0.2233], [0.0027, 0.2180, 0.7767]]}

{"formula": "CaPd3Pt", "functional": "PBE", "state": "relaxed", "m_tot_mub_per_fu": 0.00, "ef_ev_per_atom": 1.00, "total_energy_ev_per_fu": -18.631, "cell": [[4.7601, 0.0000, 0.0000], [0.0000, 4.7601, 0.0000], [0.0000, 0.0000, 4.7601]], "species": ["Ca", "Pd", "Pd", "Pd", "Pt"], "frac_coords": [[0.0000, 0.0000, 0.0000], [0.0000, 0.5000, 0.0000], [0.0000, 0.0000, 0.5000], [0.5000, 0.0000, 0.0000], [0.5000, 0.5000, 0.5000]]}

{"formula": "GeAuN2F", "functional": "PBE", "state": "relaxed", "m_tot_mub_per_fu": 2.18, "total_energy_ev_per_fu": -20.423, "formation_energy_uncorrected_ev_per_atom": 1.199, "cell": [[-1.7865, 1.6159, -3.1299], [-2.7300, -2.8529, 0.0854], [-2.8394, 2.8089, 3.0709]], "species": ["Ge", "N", "N", "Au", "F"], "frac_coords": [[0.5000, 0.5000, 0.5000], [0.0000, 0.5000, 0.0000], [0.5000, 0.0000, 0.0000], [0.0000, 0.0000, 0.0000], [0.0000, 0.0000, 0.5000]]}

{"formula": "Bi3Pd4Au", "functional": "PBE", "state": "relaxed", "m_tot_mub_per_fu": 0.00, "ef_ev_per_atom": -0.16, "total_energy_ev_per_fu": -36.946, "cell": [[-1.9097, 2.4554, -5.8455], [0.7709, -6.3751, 1.6156], [-3.3323, -0.7464, 5.6732]], "species": ["Bi", "Bi", "Bi", "Pd", "Pd", "Pd", "Pd", "Au"], "frac_coords": [[0.6150, 0.2990, 0.9140], [0.8529, 0.0000, 0.8529], [0.6150, 0.7010, 0.3159], [0.1195, 0.7661, 0.8855], [0.1195, 0.2339, 0.3534], [0.5441, 0.2401, 0.3040], [0.0639, 0.7599, 0.3040], [0.2212, 0.5000, 0.7212]]}

{"formula": "InAsOs", "functional": "PBE", "state": "relaxed", "m_tot_mub_per_fu": 0.00, "ef_ev_per_atom": 0.46, "total_energy_ev_per_fu": -17.232, "cell": [[4.3455, 0.0000, 0.0000], [-2.1728, 3.7633, 0.0000], [0.0000, 0.0000, 3.3363]], "species": ["As", "Os", "In"], "frac_coords": [[0.0000, 0.0000, 0.8333], [0.6667, 0.3333, 0.8334], [0.3333, 0.6667, 0.3333]]}

{"formula": "Dy6Si2PS3", "functional": "PBE", "state": "relaxed", "m_tot_mub_per_fu": 0.00, "total_energy_ev_per_fu": -74.858, "formation_energy_uncorrected_ev_per_atom": -1.551, "cell": [[-0.8497, -1.6646, 3.5485], [7.1980, 2.2314, 2.7703], [-4.6754, 7.6499, 0.2025]], "species": ["Dy", "Dy", "Dy", "Dy", "Dy", "Dy", "Si", "Si", "P", "S", "S", "S"], "frac_coords": [[0.3351, 0.9146, 0.6702], [0.6665, 0.5820, 0.3330], [0.6649, 0.0854, 0.3298], [0.0020, 0.2452, 0.0040], [0.9980, 0.7548, 0.9960], [0.3335, 0.4180, 0.6670], [0.8333, 0.6670, 0.6666], [0.1667, 0.3330, 0.3334], [0.5000, 0.0000, 0.0000], [0.5000, 0.5000, 0.0000], [0.8347, 0.1656, 0.6693], [0.1653, 0.8344, 0.3307]]}